A plane-wave DFT calculation with PBE-GGA was carried out for a relaxed Na3HfSe crystal.

The structure in POSCAR format:
```
Na3HfSe
1.0
5.997 0.000 0.000
0.000 5.997 0.000
0.000 0.000 5.997
Na Hf Se
3 1 1
Cartesian
0.000 0.000 2.998
0.000 2.998 0.000
2.998 0.000 0.000
0.000 0.000 0.000
2.998 2.998 2.998
```

Calculated values
M_tot in μB/f.u.: 3.00
Calculated volume in Å³/f.u.: 216
Crystal system: cubic
Energy above the lowest structure with this stoichiometry in meV per atom: 758.1
Formation energy from raw total energies in kJ/mol of formula units: 581